First-principles (PBE with a Hubbard U) data for PaMoO5 after structural relaxation, as listed in the Alexandria database.

magnetization = 2.00 μB per cell
DFT total energy = -119.36 eV/cell
symmetry = No. 15

Lattice parameters (Å, degrees): 5.5404 5.5404 7.6020 110.01 110.01 72.77
Fractional coordinates of all 14 atoms:
Pa 0.0397 0.9603 0.7500
Pa 0.9603 0.0397 0.2500
Mo 0.5000 0.5000 0.0000
Mo 0.5000 0.5000 0.5000
O 0.1824 0.7970 0.0363
O 0.2030 0.8176 0.4637
O 0.2442 0.2829 0.3776
O 0.2829 0.2442 0.8776
O 0.3964 0.6036 0.7500
O 0.6036 0.3964 0.2500
O 0.7171 0.7558 0.1224
O 0.7558 0.7171 0.6224
O 0.7970 0.1824 0.5363
O 0.8176 0.2030 0.9637